A plane-wave DFT calculation with PBE was carried out for an optimized crystal structure of CaMgPb.

```
3
Lattice="-2.7729 -3.8833 1.7575 3.7246 1.9610 2.8531 -2.4732 2.4615 1.5368" Properties=species:S:1:pos:R:3 pbc="T T T"
Mg -1.8306 -0.7175 2.8829
Pb 0.3094 1.2563 3.2642
Ca -0.0003 0.0003 0.0002
```

As for the crystal system: trigonal. For the calculated total energy, the calculation gives -2.758 eV per atom. The space-group type is P3m1 (156). The formation energy is -31 kJ/mol of atoms. The calculation puts the calculated density at 5.3 Mg/m³.